Entry 1:
A plane-wave DFT calculation with PBE was carried out for a geometry-optimized KIn2TcPb structure.

```
5
Lattice="5.3251 0.0000 0.0000 0.0000 5.3251 0.0000 0.0000 0.0000 5.3094" Properties=species:S:1:pos:R:3 pbc="T T T"
Pb 0.0000 0.0000 2.6547
K 2.6625 2.6625 2.6547
Tc 0.0000 0.0000 0.0000
In 0.0000 2.6625 0.0000
In 2.6625 0.0000 0.0000
```

Values from the calculation:
ΔH_f (0 K): 0.032 eV per atom
symmetry: P4/mmm, No. 123
DOS(E_F): 0.21 states/eV per atom
theoretical density: 6.33 Mg/m³

=====

Entry 2:
A plane-wave DFT calculation with PBE was carried out for a geometry-optimized KInTePb2 structure.

```
5
Lattice="-5.3696 2.8963 -0.9180 -2.8924 -4.5918 2.4312 0.4753 2.6419 5.5551" Properties=species:S:1:pos:R:3 pbc="T T T"
Pb 0.2377 1.3209 2.7775
Pb -2.6848 1.4482 -0.4590
K -3.8934 0.4732 3.5341
Te 0.0000 0.0000 0.0000
In -1.4462 -2.2959 1.2156
```

Values from the calculation:
formation energy without anion corrections: 84 kJ/mol of formula units
symmetry: P4/mmm, No. 123
DOS(E_F): 0.86 states/eV per atom
theoretical density: 5.11 Mg/m³

=====

Question: Which formula does entry 2 have?
Answer: KInTePb2

=====

Question: Number 2 is which compound?
Answer: KInTePb2